A plane-wave DFT calculation with PBE-GGA was carried out for an optimized crystal structure of TlRuN2.

Geometry as extended XYZ:
```
12
Lattice="3.360 0.000 0.000 -1.680 2.910 0.000 0.000 0.000 19.302" Properties=species:S:1:pos:R:3 pbc="T T T"
Tl 0.000 0.000 0.000
Tl 0.000 1.940 12.868
Tl 1.680 0.970 6.434
Ru 0.000 0.000 9.651
Ru 0.000 1.940 3.217
Ru 1.680 0.970 16.085
N 0.000 0.000 7.828
N 0.000 0.000 11.474
N 0.000 1.940 1.394
N 0.000 1.940 5.040
N 1.680 0.970 14.262
N 1.680 0.970 17.908
```

Values from the calculation:
Crystal system   trigonal
Formation energy without anion corrections   1.2331 eV per atom
Space-group type   R-3m (166)
D(E_F)   10.44 states/eV/cell

A plane-wave DFT calculation with PBE-GGA was carried out for an optimized crystal structure of NdCuAg2.

Geometry as extended XYZ:
```
12
Lattice="4.577 0.000 0.000 -2.289 3.964 0.000 0.000 0.000 14.306" Properties=species:S:1:pos:R:3 pbc="T T T"
Nd 0.000 0.000 0.000
Nd 0.000 2.643 9.537
Nd 2.289 1.321 4.769
Cu 0.000 0.000 7.153
Cu 0.000 2.643 2.384
Cu 2.289 1.321 11.922
Ag 0.000 0.000 3.074
Ag 0.000 0.000 11.231
Ag 0.000 2.643 6.463
Ag 0.000 2.643 12.612
Ag 2.289 1.321 1.694
Ag 2.289 1.321 7.843
```

Values from the calculation:
ΔE_f   -0.4 eV/f.u.
Crystal system   trigonal
Space-group type   R-3m (166)
D(E_F)   6.43 states/eV/cell

A plane-wave DFT calculation with PBE-GGA was carried out for an optimized crystal structure of SrZr2Pt.

Geometry as extended XYZ:
```
8
Lattice="3.668 0.000 0.000 0.000 5.060 0.000 0.000 0.000 10.699" Properties=species:S:1:pos:R:3 pbc="T T T"
Sr 0.000 0.000 0.000
Sr 1.834 2.530 5.350
Zr 0.000 0.000 6.325
Zr 0.000 2.530 8.432
Zr 1.834 0.000 3.083
Zr 1.834 2.530 0.975
Pt 0.000 2.530 2.846
Pt 1.834 0.000 8.196
```

Values from the calculation:
ΔE_f   -0.3 eV/f.u.
Crystal system   orthorhombic
Space-group type   Imm2 (44)
D(E_F)   9.89 states/eV/cell

Number 1: ΔE to the lowest computed polymorph 284.1 kJ/mol of formula units. Number 2: ΔE to the lowest computed polymorph 37.3 kJ/mol of formula units. Number 3: ΔE to the lowest computed polymorph 109.5 kJ/mol of formula units.